1.
# CaYNiSe2 | Alexandria | PBE-GGA | optimized geometry
data_CaYNiSe2
_cell_length_a 5.004
_cell_length_b 4.563
_cell_length_c 5.004
_cell_angle_alpha 90.00
_cell_angle_beta 90.00
_cell_angle_gamma 90.00
_space_group_name_H-M_alt 'P 1'
_space_group_IT_number 1
_space_group_name_Hall 'P 1'
loop_
_atom_site_label
_atom_site_type_symbol
_atom_site_fract_x
_atom_site_fract_y
_atom_site_fract_z
Y1 Y 0.500 0.500 0.500
Ni1 Ni 0.000 0.000 0.000
Se1 Se 0.000 0.000 0.500
Se2 Se 0.500 0.000 0.000
Ca1 Ca 0.000 0.500 0.000
# Space group: P4/mmm
# Electronic total energy, eV for the cell shown: -23.389

***

2.
# Er5ScBi6 | Alexandria | PBE-GGA | optimized geometry
data_Er5ScBi6
_cell_length_a 7.657
_cell_length_b 7.657
_cell_length_c 7.652
_cell_angle_alpha 99.60
_cell_angle_beta 99.60
_cell_angle_gamma 120.01
_space_group_name_H-M_alt 'P 1'
_space_group_IT_number 1
_space_group_name_Hall 'P 1'
loop_
_atom_site_label
_atom_site_type_symbol
_atom_site_fract_x
_atom_site_fract_y
_atom_site_fract_z
Bi1 Bi 0.081 0.408 0.245
Bi2 Bi 0.757 0.757 0.248
Bi3 Bi 0.592 0.919 0.755
Bi4 Bi 0.919 0.592 0.755
Bi5 Bi 0.243 0.243 0.752
Bi6 Bi 0.408 0.081 0.245
Er1 Er 0.500 0.500 0.500
Er2 Er 0.170 0.830 0.500
Er3 Er 0.666 0.334 0.000
Er4 Er 0.830 0.170 0.500
Er5 Er 0.334 0.666 0.000
Sc1 Sc 0.000 0.000 0.000
# Formation energy from the elements, kJ per mole of atoms: -75.55
# Space group: C2/m

***

3.
# TlZnAg2 | Alexandria | PBE-GGA | optimized geometry
data_TlZnAg2
_cell_length_a 5.139
_cell_length_b 5.139
_cell_length_c 5.139
_cell_angle_alpha 129.61
_cell_angle_beta 129.61
_cell_angle_gamma 74.02
_space_group_name_H-M_alt 'P 1'
_space_group_IT_number 1
_space_group_name_Hall 'P 1'
loop_
_atom_site_label
_atom_site_type_symbol
_atom_site_fract_x
_atom_site_fract_y
_atom_site_fract_z
Ag1 Ag 0.250 0.750 0.500
Ag2 Ag 0.000 0.000 0.000
Zn1 Zn 0.750 0.250 0.500
Tl1 Tl 0.500 0.500 0.000
# Formation energy from the elements, kJ per mole of atoms: 12.70
# Space group: I-4m2

***

4.
# Zr4OsRh | Alexandria | PBE-GGA | optimized geometry
data_Zr4OsRh
_cell_length_a 5.508
_cell_length_b 5.508
_cell_length_c 5.508
_cell_angle_alpha 60.00
_cell_angle_beta 60.00
_cell_angle_gamma 60.00
_space_group_name_H-M_alt 'P 1'
_space_group_IT_number 1
_space_group_name_Hall 'P 1'
loop_
_atom_site_label
_atom_site_type_symbol
_atom_site_fract_x
_atom_site_fract_y
_atom_site_fract_z
Rh1 Rh 0.000 0.000 0.000
Zr1 Zr 0.375 0.375 0.375
Zr2 Zr 0.375 0.874 0.375
Zr3 Zr 0.874 0.375 0.375
Zr4 Zr 0.375 0.375 0.874
Os1 Os 0.750 0.750 0.750
# Offset from the most stable computed form, meV/atom: 997.7
# Formation energy from the elements, kJ per mole of atoms: 53.01
# Space group: F-43m

***

5.
# Zr2CrNi | Alexandria | PBE-GGA | optimized geometry
data_Zr2CrNi
_cell_length_a 3.255
_cell_length_b 3.255
_cell_length_c 6.706
_cell_angle_alpha 90.00
_cell_angle_beta 90.00
_cell_angle_gamma 90.00
_space_group_name_H-M_alt 'P 1'
_space_group_IT_number 1
_space_group_name_Hall 'P 1'
loop_
_atom_site_label
_atom_site_type_symbol
_atom_site_fract_x
_atom_site_fract_y
_atom_site_fract_z
Ni1 Ni 0.500 0.500 0.734
Cr1 Cr 0.000 0.000 0.534
Zr1 Zr 0.500 0.500 0.277
Zr2 Zr 0.000 0.000 0.956
# Offset from the most stable computed form, meV/atom: 189.5
# Formation energy from the elements, kJ per mole of atoms: 7.35
# Space group: P4mm

***

6.
# LaTbSn | Alexandria | PBE-GGA | optimized geometry
data_LaTbSn
_cell_length_a 4.192
_cell_length_b 4.192
_cell_length_c 5.848
_cell_angle_alpha 111.00
_cell_angle_beta 111.00
_cell_angle_gamma 90.00
_space_group_name_H-M_alt 'P 1'
_space_group_IT_number 1
_space_group_name_Hall 'P 1'
loop_
_atom_site_label
_atom_site_type_symbol
_atom_site_fract_x
_atom_site_fract_y
_atom_site_fract_z
Sn1 Sn 0.610 0.610 0.221
Tb1 Tb 0.966 0.966 0.932
La1 La 0.274 0.274 0.547
# Offset from the most stable computed form, meV/atom: 161.4
# Formation energy from the elements, kJ per mole of atoms: -45.66
# Space group: I4mm

***

7.
# NaCd4Sb | Alexandria | PBE-GGA | optimized geometry
data_NaCd4Sb
_cell_length_a 5.963
_cell_length_b 5.963
_cell_length_c 5.963
_cell_angle_alpha 60.00
_cell_angle_beta 60.00
_cell_angle_gamma 60.00
_space_group_name_H-M_alt 'P 1'
_space_group_IT_number 1
_space_group_name_Hall 'P 1'
loop_
_atom_site_label
_atom_site_type_symbol
_atom_site_fract_x
_atom_site_fract_y
_atom_site_fract_z
Cd1 Cd 0.126 0.625 0.625
Cd2 Cd 0.625 0.625 0.625
Cd3 Cd 0.625 0.625 0.126
Cd4 Cd 0.625 0.126 0.625
Sb1 Sb 0.000 0.000 0.000
Na1 Na 0.250 0.250 0.250
# Space group: F-43m
# Electronic total energy, eV for the cell shown: -9.180

***

8.
# LuBe4Pt | Alexandria | PBE-GGA | optimized geometry
data_LuBe4Pt
_cell_length_a 4.658
_cell_length_b 4.658
_cell_length_c 4.658
_cell_angle_alpha 60.00
_cell_angle_beta 60.00
_cell_angle_gamma 60.00
_space_group_name_H-M_alt 'P 1'
_space_group_IT_number 1
_space_group_name_Hall 'P 1'
loop_
_atom_site_label
_atom_site_type_symbol
_atom_site_fract_x
_atom_site_fract_y
_atom_site_fract_z
Pt1 Pt 0.000 0.000 0.000
Be1 Be 0.626 0.122 0.626
Be2 Be 0.626 0.626 0.626
Be3 Be 0.122 0.626 0.626
Be4 Be 0.626 0.626 0.122
Lu1 Lu 0.250 0.250 0.250
# Formation energy from the elements, kJ per mole of atoms: -35.37
# Space group: F-43m

***

9.
# Al3NiAg | Alexandria | PBE-GGA | optimized geometry
data_Al3NiAg
_cell_length_a 4.737
_cell_length_b 4.737
_cell_length_c 4.737
_cell_angle_alpha 90.00
_cell_angle_beta 90.00
_cell_angle_gamma 90.00
_space_group_name_H-M_alt 'P 1'
_space_group_IT_number 1
_space_group_name_Hall 'P 1'
loop_
_atom_site_label
_atom_site_type_symbol
_atom_site_fract_x
_atom_site_fract_y
_atom_site_fract_z
Al1 Al 0.500 0.000 0.000
Al2 Al 0.000 0.000 0.500
Al3 Al 0.000 0.500 0.000
Ag1 Ag 0.000 0.000 0.000
Ni1 Ni 0.500 0.500 0.500
# Offset from the most stable computed form, meV/atom: 850.5
# Formation energy from the elements, kJ per mole of atoms: 80.00
# Space group: Pm-3m

***

10.
# Cd3PbAu2 | Alexandria | PBE-GGA | optimized geometry
data_Cd3PbAu2
_cell_length_a 4.068
_cell_length_b 8.609
_cell_length_c 9.802
_cell_angle_alpha 121.84
_cell_angle_beta 90.00
_cell_angle_gamma 103.67
_space_group_name_H-M_alt 'P 1'
_space_group_IT_number 1
_space_group_name_Hall 'P 1'
loop_
_atom_site_label
_atom_site_type_symbol
_atom_site_fract_x
_atom_site_fract_y
_atom_site_fract_z
Cd1 Cd 0.998 0.996 0.349
Cd2 Cd 0.002 0.004 0.651
Cd3 Cd 0.676 0.353 0.873
Cd4 Cd 0.328 0.656 0.550
Cd5 Cd 0.672 0.344 0.450
Cd6 Cd 0.324 0.647 0.127
Pb1 Pb 0.133 0.266 0.129
Pb2 Pb 0.867 0.734 0.871
Au1 Au 0.497 0.994 0.144
Au2 Au 0.503 0.006 0.856
Au3 Au 0.818 0.636 0.334
Au4 Au 0.182 0.364 0.666
# Formation energy from the elements, kJ per mole of atoms: -11.18
# Space group: C2/m

***

11.
# La2Pm2Ga3 | Alexandria | PBE-GGA | optimized geometry
data_La2Pm2Ga3
_cell_length_a 4.292
_cell_length_b 7.193
_cell_length_c 7.212
_cell_angle_alpha 108.65
_cell_angle_beta 90.00
_cell_angle_gamma 107.36
_space_group_name_H-M_alt 'P 1'
_space_group_IT_number 1
_space_group_name_Hall 'P 1'
loop_
_atom_site_label
_atom_site_type_symbol
_atom_site_fract_x
_atom_site_fract_y
_atom_site_fract_z
La1 La 0.182 0.364 0.262
La2 La 0.818 0.636 0.738
Ga1 Ga 0.581 0.163 0.447
Ga2 Ga 0.500 0.000 0.000
Ga3 Ga 0.419 0.837 0.553
Pm1 Pm 0.911 0.821 0.239
Pm2 Pm 0.089 0.179 0.761
# Formation energy from the elements, kJ per mole of atoms: -40.47
# Space group: C2/m

***

12.
# TlAgGe | Alexandria | PBE-GGA | optimized geometry
data_TlAgGe
_cell_length_a 4.314
_cell_length_b 3.956
_cell_length_c 8.164
_cell_angle_alpha 90.03
_cell_angle_beta 90.00
_cell_angle_gamma 90.00
_space_group_name_H-M_alt 'P 1'
_space_group_IT_number 1
_space_group_name_Hall 'P 1'
loop_
_atom_site_label
_atom_site_type_symbol
_atom_site_fract_x
_atom_site_fract_y
_atom_site_fract_z
Ag1 Ag 0.725 0.400 0.418
Ag2 Ag 0.725 0.900 0.672
Ge1 Ge 0.225 0.901 0.879
Ge2 Ge 0.225 0.401 0.657
Tl1 Tl 0.225 0.900 0.298
Tl2 Tl 0.725 0.401 0.027
# Formation energy from the elements, kJ per mole of atoms: 13.65
# Space group: Pmm2

***

| no. | size of the total moment (μB/atom) |
| --- | --- |
| 1 | 0.170 |
| 2 | 0.000 |
| 3 | 0.000 |
| 4 | 0.000 |
| 5 | 0.978 |
| 6 | 0.000 |
| 7 | 0.000 |
| 8 | 0.000 |
| 9 | 0.000 |
| 10 | 0.000 |
| 11 | 0.023 |
| 12 | 0.000 |